The following is a DFT calculation (PBE) of a geometry-optimized ZrSiBr structure.

Lattice parameters (Å, degrees): 7.0840 7.0817 3.1956 77.00 76.92 26.07
Positions (direct):
Zr  0.0000  0.0000  0.0000
Si  0.3672  0.3672  0.6328
Br  0.6364  0.6364  0.3636

Space-group type   No. 42
Energy relative to the elements, uncorrected   -268 meV/atom

The following is a DFT calculation (PBE) of a geometry-optimized ZrSiBr2 structure.

Lattice parameters (Å, degrees): 3.2335 3.2335 10.7927 90.00 90.00 90.00
Positions (direct):
Zr  0.0000  0.0000  0.0000
Si  0.0000  0.0000  0.5000
Br  0.5000  0.5000  0.1566
Br  0.5000  0.5000  0.8434

Space-group type   No. 123
E above lowest polymorph   2.181 eV per formula unit
Energy relative to the elements, uncorrected   -127 meV/atom

The following is a DFT calculation (PBE) of a geometry-optimized ZrSiBr2 structure.

Lattice parameters (Å, degrees): 9.8958 9.8958 9.8958 19.70 19.70 19.70
Positions (direct):
Zr  0.0000  0.0000  0.0000
Si  0.5000  0.5000  0.5000
Br  0.4013  0.4013  0.4013
Br  0.5987  0.5987  0.5987

Space-group type   No. 166
E above lowest polymorph   1.556 eV per formula unit
Energy relative to the elements, uncorrected   -284 meV/atom

The following is a DFT calculation (PBE) of a geometry-optimized ZrSiBr2 structure.

Lattice parameters (Å, degrees): 3.4803 3.4803 10.1107 90.00 90.00 123.84
Positions (direct):
Zr  0.0000  0.0000  0.0000
Si  0.0000  0.0000  0.5000
Br  0.5000  0.5000  0.2157
Br  0.5000  0.5000  0.7843

Space-group type   No. 65
E above lowest polymorph   2.603 eV per formula unit
Energy relative to the elements, uncorrected   -22 meV/atom

The following is a DFT calculation (PBE) of a geometry-optimized ZrSiBr3 structure.

Lattice parameters (Å, degrees): 5.2391 5.2391 5.2391 90.00 90.00 90.00
Positions (direct):
Zr  0.0000  0.0000  0.0000
Si  0.5000  0.5000  0.5000
Br  0.0000  0.5000  0.5000
Br  0.5000  0.0000  0.5000
Br  0.5000  0.5000  0.0000

Space-group type   No. 221
E above lowest polymorph   2.146 eV per formula unit
Energy relative to the elements, uncorrected   361 meV/atom

The following is a DFT calculation (PBE) of a geometry-optimized ZrSiBr2 structure.

Lattice parameters (Å, degrees): 3.4574 4.8161 5.3906 90.00 91.10 90.00
Positions (direct):
Zr  0.0000  0.0000  0.0000
Si  0.5000  0.0000  0.5000
Br  0.2082  0.5000  0.2479
Br  0.7918  0.5000  0.7521

Space-group type   No. 10
E above lowest polymorph   2.397 eV per formula unit
Energy relative to the elements, uncorrected   -74 meV/atom

The following is a DFT calculation (PBE) of a geometry-optimized ZrSiBr2 structure.

Lattice parameters (Å, degrees): 8.4333 8.4333 8.4333 155.18 152.61 37.29
Positions (direct):
Zr  0.0000  0.0000  0.0000
Si  0.5000  0.5000  0.0000
Br  0.1424  0.6424  0.5000
Br  0.8576  0.3576  0.5000

Space-group type   No. 71
E above lowest polymorph   0.549 eV per formula unit
Energy relative to the elements, uncorrected   -535 meV/atom

The following is a DFT calculation (PBE) of a geometry-optimized ZrSiBr2 structure.

Lattice parameters (Å, degrees): 3.2873 4.7098 5.5789 90.00 90.00 90.00
Positions (direct):
Zr  0.0000  0.0000  0.0000
Si  0.5000  0.0000  0.5000
Br  0.0000  0.5000  0.5000
Br  0.5000  0.5000  0.0000

Space-group type   No. 47
E above lowest polymorph   2.535 eV per formula unit
Energy relative to the elements, uncorrected   -39 meV/atom

The following is a DFT calculation (PBE) of a geometry-optimized ZrSiBr2 structure.

Lattice parameters (Å, degrees): 3.5950 3.5950 10.2102 90.00 90.00 125.34
Positions (direct):
Zr  0.0000  0.0000  0.0000
Si  0.5000  0.5000  0.7932
Br  0.0000  0.0000  0.5963
Br  0.5000  0.5000  0.2066

Space-group type   No. 35
E above lowest polymorph   1.679 eV per formula unit
Energy relative to the elements, uncorrected   -253 meV/atom

The following is a DFT calculation (PBE) of a geometry-optimized ZrSiBr structure.

Lattice parameters (Å, degrees): 3.4263 3.4263 6.7867 90.00 90.00 120.00
Positions (direct):
Zr  0.0000  0.0000  0.0000
Si  0.6667  0.3333  0.7129
Br  0.3333  0.6667  0.2819

Space-group type   No. 156
Energy relative to the elements, uncorrected   -297 meV/atom

The following is a DFT calculation (PBE) of a geometry-optimized ZrSiBr2 structure.

Lattice parameters (Å, degrees): 7.4330 7.4330 7.4330 97.28 97.28 138.30
Positions (direct):
Zr  0.0000  0.0000  0.0000
Zr  0.7500  0.2500  0.5000
Si  0.2500  0.7500  0.5000
Si  0.5000  0.5000  0.0000
Br  0.3750  0.0228  0.1478
Br  0.7728  0.6250  0.6478
Br  0.8750  0.2272  0.8522
Br  0.9772  0.1250  0.3522

Space-group type   No. 122
E above lowest polymorph   2.049 eV per formula unit
Energy relative to the elements, uncorrected   -161 meV/atom

The following is a DFT calculation (PBE) of a geometry-optimized ZrSiBr2 structure.

Lattice parameters (Å, degrees): 8.1184 8.1184 4.2221 95.74 95.74 25.07
Positions (direct):
Zr  0.0000  0.0000  0.0000
Si  0.5000  0.5000  0.5000
Br  0.3597  0.3597  0.8029
Br  0.6403  0.6403  0.1971

Space-group type   No. 12
E above lowest polymorph   0.337 eV per formula unit
Energy relative to the elements, uncorrected   -589 meV/atom

The following is a DFT calculation (PBE) of a geometry-optimized ZrSiBr2 structure.

Lattice parameters (Å, degrees): 4.9863 4.9863 4.9863 60.00 60.00 60.00
Positions (direct):
Zr  0.0000  0.0000  0.0000
Si  0.2500  0.2500  0.2500
Br  0.5000  0.5000  0.5000
Br  0.7500  0.7500  0.7500

Space-group type   No. 216
E above lowest polymorph   3.721 eV per formula unit
Energy relative to the elements, uncorrected   258 meV/atom

The following is a DFT calculation (PBE) of a geometry-optimized ZrSiBr2 structure.

Lattice parameters (Å, degrees): 9.9022 9.9022 9.9022 19.78 19.78 19.78
Positions (direct):
Zr  0.0000  0.0000  0.0000
Si  0.2645  0.2645  0.2645
Br  0.5320  0.5320  0.5320
Br  0.7325  0.7325  0.7325

Space-group type   No. 160
E above lowest polymorph   0.816 eV per formula unit
Energy relative to the elements, uncorrected   -469 meV/atom

The following is a DFT calculation (PBE) of a geometry-optimized ZrSiBr structure.

Lattice parameters (Å, degrees): 5.4297 5.4297 5.4297 143.38 141.26 54.36
Positions (direct):
Zr  0.0000  0.0000  0.0000
Si  0.3506  0.3506  0.0000
Br  0.6578  0.6578  0.0000

Space-group type   No. 44
Energy relative to the elements, uncorrected   -200 meV/atom